[1]
Here is a relaxed K2NaTeS4 crystal from Alexandria via LeMat-Bulk. Energies are from PBE-GGA.

## Properties
**Energy**: -28.3 eV for the cell shown
**M_tot**: 0.911 Bohr magnetons per cell
**Crystal system**: tetragonal

a = 7.261 Å, b = 6.652 Å, c = 6.652 Å
α = 72.67°, β = 56.92°, γ = 56.92°
Last column: magnetic moment on the atom in μB.
Atoms (fractional coordinates):
K1 0.000 0.500 0.500  0.00
K2 0.500 0.500 0.500  0.00
S1 0.881 0.000 0.650  0.13
S2 0.531 0.000 0.350  0.13
S3 0.469 0.650 0.000  0.13
S4 0.119 0.350 0.000  0.13
Te1 0.500 0.000 0.000  0.07
Na1 0.000 0.000 0.000  0.00


[2]
Here is a relaxed RePtC2Cl crystal from Alexandria via LeMat-Bulk. Energies are from PBE-GGA.

## Properties
**Energy**: -30.3 eV for the cell shown
**M_tot**: 0.000 Bohr magnetons per cell
**Crystal system**: tetragonal

a = 3.939 Å, b = 5.152 Å, c = 3.939 Å
α = 90.00°, β = 90.00°, γ = 90.00°
Atoms (fractional coordinates):
C1 0.000 0.000 0.500
C2 0.500 0.000 0.000
Pt1 0.500 0.500 0.500
Cl1 0.000 0.500 0.000
Re1 0.000 0.000 0.000